The following is a DFT calculation (GGA+U) of SrB4Mo3O12 after structural relaxation.

a b c (Å): 6.360 6.360 6.360
angles (deg): 103.10 103.10 103.10
Each line ends with the local moment (μB).
Sites, in units of the cell vectors:
1 O 0.500 0.084 0.916  0.01
2 O 0.618 0.789 0.028  0.00
3 O 0.789 0.028 0.618  0.00
4 O 0.028 0.618 0.789  0.00
5 O 0.972 0.211 0.382  0.00
6 O 0.382 0.972 0.211  0.00
7 O 0.639 0.500 0.361  -0.03
8 O 0.084 0.916 0.500  0.01
9 O 0.211 0.382 0.972  0.00
10 O 0.500 0.361 0.639  -0.03
11 O 0.361 0.639 0.500  -0.03
12 O 0.916 0.500 0.084  0.01
13 B 0.500 0.943 0.057  0.02
14 B 0.943 0.057 0.500  0.02
15 B 0.500 0.500 0.500  0.03
16 B 0.057 0.500 0.943  0.02
17 Mo 0.000 0.553 0.447  2.52
18 Mo 0.553 0.447 0.000  2.52
19 Mo 0.447 0.000 0.553  2.52
20 Sr 0.000 0.000 0.000  0.01

- Fermi-level density of states (states/eV per cell) = 4.8
- DFT total energy (eV/atom) = -7.67